Record 1
This record from the Alexandria database describes a relaxed AuSeCl2 crystal. The functional is PBE.

Computed properties:
Polymorph energy (0 for the lowest one)   0.1514 eV per atom
Symmetry   No. 99
Formation energy from raw total energies   0.00 eV/atom

Cell lengths 3.6727, 3.6736, 8.0803 Å; angles 90.00, 90.00, 90.00 degrees
With the nearest neighbours (Å) after each atom.
Atoms (fractional coordinates):
Cl (0.5000, 0.5000, 0.2826)  1 Au 2.36
Cl (0.0000, 0.0000, 0.9565)  1 Se 2.19
Au (0.5000, 0.5000, 0.5750)  1 Cl 2.36
Se (0.0000, 0.0000, 0.6858)  1 Cl 2.19

---

Record 2
This record from the Alexandria database describes a relaxed AuSeCl2 crystal. The functional is PBE.

Computed properties:
Polymorph energy (0 for the lowest one)   0.3958 eV per atom
Symmetry   No. 122
Formation energy from raw total energies   0.25 eV/atom

Cell lengths 10.0183, 10.0183, 7.5357 Å; angles 48.34, 48.34, 90.00 degrees
With the nearest neighbours (Å) after each atom.
Atoms (fractional coordinates):
Cl (0.8776, 0.6250, 0.2500)  2 Au 2.59
Cl (0.8750, 0.1224, 0.7500)  2 Au 2.59
Cl (0.3750, 0.1276, 0.7500)  2 Au 2.59
Cl (0.8724, 0.1250, 0.2500)  2 Au 2.59
Se (0.5000, 0.5000, 0.0000)  2 Au 2.57
Se (0.2500, 0.7500, 0.5000)  2 Au 2.57
Au (0.0000, 0.0000, 0.0000)  2 Se 2.57, 4 Cl 2.59
Au (0.7500, 0.2500, 0.5000)  2 Se 2.57, 4 Cl 2.59

---

Record 3
This record from the Alexandria database describes a relaxed AuSe2Cl crystal. The functional is PBE.

Computed properties:
Symmetry   No. 65
Formation energy from raw total energies   0.18 eV/atom

Cell lengths 4.5982, 4.5982, 7.1371 Å; angles 90.00, 90.00, 126.84 degrees
With the nearest neighbours (Å) after each atom.
Atoms (fractional coordinates):
Cl (0.5000, 0.5000, 0.7500)  4 Se 2.98
Au (0.5000, 0.5000, 0.2500)  4 Se 2.49
Se (0.0000, 0.0000, 0.0528)  2 Au 2.49
Se (0.0000, 0.0000, 0.4472)  2 Au 2.49

---

Record 4
This record from the Alexandria database describes a relaxed AuSeCl2 crystal. The functional is PBE.

Computed properties:
Polymorph energy (0 for the lowest one)   0.4833 eV per atom
Symmetry   No. 99
Formation energy from raw total energies   0.34 eV/atom

Cell lengths 3.2772, 3.2772, 8.4270 Å; angles 90.00, 90.00, 90.00 degrees
With the nearest neighbours (Å) after each atom.
Atoms (fractional coordinates):
Au (0.5000, 0.5000, 0.7275)  4 Se 2.86, 4 Cl 2.86
Cl (0.5000, 0.5000, 0.3168)  4 Se 2.93, 4 Cl 3.28
Cl (0.0000, 0.0000, 0.9261)  4 Au 2.86
Se (0.0000, 0.0000, 0.5295)  4 Au 2.86, 4 Cl 2.93

---

Record 5
This record from the Alexandria database describes a relaxed AuSe2Cl crystal. The functional is PBE.

Computed properties:
Symmetry   No. 35
Formation energy from raw total energies   0.18 eV/atom

Cell lengths 4.1187, 4.1187, 7.9142 Å; angles 90.00, 90.00, 128.57 degrees
With the nearest neighbours (Å) after each atom.
Atoms (fractional coordinates):
Cl (0.5000, 0.5000, 0.7207)  2 Au 2.52
Au (0.0000, 0.0000, 0.4961)  2 Cl 2.52, 2 Se 2.61
Se (0.5000, 0.5000, 0.2562)  2 Se 2.55, 2 Au 2.61
Se (0.0000, 0.0000, 0.0271)  2 Se 2.55

---

Record 6
This record from the Alexandria database describes a relaxed Au3SeCl crystal. The functional is PBE.

Computed properties:
Polymorph energy (0 for the lowest one)   0.0000 eV per atom
Symmetry   No. 221
Formation energy from raw total energies   0.31 eV/atom

Cell lengths 5.0031, 5.0031, 5.0031 Å; angles 90.00, 90.00, 90.00 degrees
With the nearest neighbours (Å) after each atom.
Atoms (fractional coordinates):
Au (0.0000, 0.0000, 0.5000)  2 Se 2.50
Au (0.0000, 0.5000, 0.0000)  2 Se 2.50
Au (0.5000, 0.0000, 0.0000)  2 Se 2.50
Se (0.0000, 0.0000, 0.0000)  6 Au 2.50
Cl (0.5000, 0.5000, 0.5000)  12 Au 3.54